An optimized crystal structure of Zn2CrF, computed with GGA+U.

**DOS at the Fermi energy**: 0.309 states/eV per atom
**Crystal system**: cubic
**Total magnetic moment**: 18.9 μB/cell
**Energy above the lowest structure with this stoichiometry**: 1.08 eV/f.u.

Cell: 6.407 6.407 6.407 Å, 90.00 90.00 90.00°
Space group Fm-3m (No. 225)
One atom of each set of equivalent atoms:
Zn 0.250 0.250 0.250 [8 per cell]
Cr 0.000 0.000 0.000 [4 per cell]
F 0.000 0.000 0.500 [4 per cell]